# NdCo2Sn8

An optimized crystal structure of NdCo2Sn8 (PBE, the Alexandria database).

The space group is C2/m (No. 12) and the conventional cell measures 8.435, 12.858 and 4.868 Å, with angles of 90.00, 96.05 and 90.00 degrees. The distinct sites, in fractional coordinates, are Nd at (0.000, 0.000, 0.000), Co at (0.000, 0.324, 0.500), Sn at (0.000, 0.263, 0.000), Sn at (0.108, 0.500, 0.780) and Sn at (0.202, 0.142, 0.602).

Its magnetization is 0.000 μB per cell. The calculation puts the formation energy at -118 meV/atom. For the volume, the calculation gives 525 Å³ per cell.